Record 1
Material: Pm4Co3Ir
Method: DFT, PBE
State: optimized geometry

POSCAR file:
```
Pm4Co3Ir
1.0
4.113 0.000 0.000
0.000 4.018 0.000
0.000 0.000 10.687
Pm Co Ir
4 3 1
Direct
0.000 0.500 0.854
0.000 0.000 0.144
0.500 0.500 0.358
0.500 0.000 0.645
0.000 0.000 0.451
0.000 0.500 0.552
0.500 0.000 0.927
0.500 0.500 0.068
```

Results
Calculated formation energy   -0.248 eV/atom
D(E_F)   5.25 states/eV/cell
Magnetic moment   0.683 μB/f.u.

Record 2
Material: VFePS2
Method: DFT, PBE
State: optimized geometry

POSCAR file:
```
VFePS2
1.0
-1.792 3.940 -1.456
-4.144 -1.917 -0.088
-0.621 1.163 3.909
S P Fe V
2 1 1 1
Direct
0.000 0.500 0.000
0.500 0.000 0.000
0.000 0.000 0.500
0.000 0.000 0.000
0.500 0.500 0.500
```

Results
D(E_F)   6.73 states/eV/cell
Magnetic moment   3.602 μB/f.u.
Raw formation energy   471 meV per atom

Record 3
Material: BaTlPd2
Method: DFT, PBE
State: optimized geometry

POSCAR file:
```
BaTlPd2
1.0
5.265 0.000 0.000
0.000 5.265 0.000
2.632 2.632 9.259
Pd Tl Ba
4 2 2
Direct
0.375 0.163 0.750
0.913 0.625 0.250
0.875 0.087 0.750
0.837 0.125 0.250
0.750 0.250 0.500
0.000 0.000 0.000
0.250 0.750 0.500
0.500 0.500 0.000
```

Results
Calculated formation energy   -0.258 eV/atom
D(E_F)   3.90 states/eV/cell
Magnetic moment   0.000 μB/f.u.

Record 4
Material: HgSbAu2
Method: DFT, PBE
State: optimized geometry

POSCAR file:
```
HgSbAu2
1.0
-2.270 2.640 1.451
0.446 -1.119 2.734
6.495 3.628 3.559
Au Hg Sb
2 1 1
Direct
0.000 0.497 0.501
0.000 0.003 0.999
0.500 0.250 0.250
0.500 0.750 0.750
```

Results
D(E_F)   1.25 states/eV/cell
Magnetic moment   0.000 μB/f.u.
Raw formation energy   110 meV per atom

Which value of magnetic moment does entry 3 give?
0.000 μB/f.u.